Compound: NaTa3Ge
Source: Alexandria via LeMat-Bulk
Functional: PBE
Structure: relaxed

a = 4.6361 Å, b = 4.6361 Å, c = 4.6361 Å
α = 90.00°, β = 90.00°, γ = 90.00°
Last column: nearest neighbours and their distance in Å.
Element x y z (fractional)
Na 0.0000 0.0000 0.0000  6 Ta 2.32
Ta 0.0000 0.0000 0.5000  2 Na 2.32
Ta 0.0000 0.5000 0.0000  2 Na 2.32
Ta 0.5000 0.0000 0.0000  2 Na 2.32
Ge 0.5000 0.5000 0.5000  12 Ta 3.28

Raw total energy: -6.07 eV/atom
Energy of formation: 11.15 eV per formula unit
Space-group type: No. 221